Rb3CaBr6 after structural relaxation, computed with GGA-PBE.

Values from the calculation:
**E**: -0.228 Ry/atom
**Formation energy without anion corrections**: -1608 meV per atom
**E above lowest polymorph**: 0 meV/atom
**Theoretical density**: 2906 kg/m³

abc: 13.9530 22.0195 5.7722
angles: 90.00 90.00 90.00
Closest atoms and distances in Å follow each position.
Space group Cmc2_1 (No. 36)
Unique sites:
Rb1 0.0000 0.1152 0.0000 [4 per cell]  9 Br 3.71-3.87
Rb2 0.1647 0.4031 0.9991 [8 per cell]  6 Br 3.30-3.69
Ca1 0.0000 0.2705 0.4982 [4 per cell]  5 Br 2.75-2.95
Br1 0.0000 0.2838 0.9979 [4 per cell]  2 Ca 2.90
Br2 0.0000 0.4046 0.4984 [4 per cell]  1 Ca 2.95
Br3 0.1452 0.1861 0.4960 [8 per cell]  1 Ca 2.75
Br4 0.1680 0.9998 0.2515 [8 per cell]  2 Br 2.89

RbCaBr3 after structural relaxation, computed with GGA-PBE.

Values from the calculation:
**E**: -0.259 Ry/atom
**Formation energy without anion corrections**: -1926 meV per atom
**Theoretical density**: 3235 kg/m³

abc: 10.3507 7.4706 10.5733
angles: 90.00 113.48 90.00
Closest atoms and distances in Å follow each position.
Space group P2_1/c (No. 14)
Unique sites:
Rb1 0.1157 0.2371 0.1357 [4 per cell]  5 Br 3.44-3.55
Ca1 0.4105 0.7403 0.8826 [4 per cell]  6 Br 2.85-3.00
Br1 0.1237 0.6874 0.2103 [4 per cell]  1 Ca 2.85
Br2 0.3137 0.0858 0.4636 [4 per cell]  2 Ca 2.89-2.90
Br3 0.4307 0.5645 0.6363 [4 per cell]  3 Ca 2.98-3.00

RbCaBr3 after structural relaxation, computed with GGA-PBE.

Values from the calculation:
**E**: -0.255 Ry/atom
**Formation energy without anion corrections**: -1874 meV per atom
**Theoretical density**: 2922 kg/m³

abc: 14.9203 14.9203 14.9203
angles: 90.00 90.00 90.00
Closest atoms and distances in Å follow each position.
Space group Fd-3m (No. 227, origin choice 2)
Unique sites:
Rb1 0.0000 0.0000 0.0000 [16 per cell]  6 Br 3.61
Ca1 0.0000 0.0000 0.5000 [16 per cell]  6 Br 2.92
Br1 0.0843 0.3750 0.8750 [48 per cell]  2 Ca 2.92